Computed, not measured: crystalline CsGe3Br at its relaxed geometry at the GGA-PBEsol level of DFT.

a b c (Å): 5.6859 5.6859 5.6859
angles (deg): 90.00 90.00 90.00
Positions (direct):
Cs: 0.0000 0.0000 0.0000
Ge: 0.0000 0.0000 0.5000
Ge: 0.0000 0.5000 0.0000
Ge: 0.5000 0.0000 0.0000
Br: 0.5000 0.5000 0.5000

Results
E_form (uncorrected) = 162 kJ/mol of atoms
DOS(E_F) = 9.81 states/eV per cell

Computed, not measured: crystalline CsGe3Br at its relaxed geometry at the GGA-PBEsol level of DFT.

a b c (Å): 5.3395 5.3395 5.3395
angles (deg): 90.00 90.00 90.00
Positions (direct):
Cs: 0.0000 0.0000 0.0000
Ge: 0.0000 0.5000 0.5000
Ge: 0.5000 0.0000 0.5000
Ge: 0.5000 0.5000 0.0000
Br: 0.5000 0.5000 0.5000

Results
E_form (uncorrected) = 63 kJ/mol of atoms
DOS(E_F) = 2.59 states/eV per cell

Computed, not measured: crystalline Cs2H2Br at its relaxed geometry at the GGA-PBEsol level of DFT.

a b c (Å): 9.5097 9.5097 5.3785
angles (deg): 90.00 90.00 90.00
Positions (direct):
Cs: 0.1955 0.3045 0.0000
Cs: 0.3045 0.8045 0.0000
Cs: 0.6955 0.1955 0.0000
Cs: 0.8045 0.6955 0.0000
H: 0.0288 0.5288 0.5000
H: 0.4712 0.0288 0.5000
H: 0.5288 0.9712 0.5000
H: 0.9712 0.4712 0.5000
Br: 0.0000 0.0000 0.0000
Br: 0.5000 0.5000 0.0000

Results
uncorrected energy = -2.604 eV/atom
DOS(E_F) = 5.38 states/eV per cell

Computed, not measured: crystalline CsHBrO2 at its relaxed geometry at the GGA-PBEsol level of DFT.

a b c (Å): 4.1805 4.1805 7.1539
angles (deg): 90.00 90.00 90.00
Positions (direct):
Cs: 0.0000 0.0000 0.0000
H: 0.5000 0.5000 0.5000
Br: 0.0000 0.0000 0.5000
O: 0.0000 0.5000 0.0000
O: 0.5000 0.0000 0.0000

Results
uncorrected energy = -2.377 eV/atom
DOS(E_F) = 3.23 states/eV per cell

Computed, not measured: crystalline CsHfBr3 at its relaxed geometry at the GGA-PBEsol level of DFT.

a b c (Å): 6.2137 6.2137 6.2137
angles (deg): 90.00 90.00 90.00
Positions (direct):
Cs: 0.0000 0.0000 0.0000
Hf: 0.5000 0.5000 0.5000
Br: 0.0000 0.0000 0.5000
Br: 0.0000 0.5000 0.0000
Br: 0.5000 0.0000 0.0000

Results
E_form (uncorrected) = 60 kJ/mol of atoms
DOS(E_F) = 12.15 states/eV per cell

Computed, not measured: crystalline CsHf3Br at its relaxed geometry at the GGA-PBEsol level of DFT.

a b c (Å): 5.1148 5.1148 5.1148
angles (deg): 90.00 90.00 90.00
Positions (direct):
Cs: 0.0000 0.0000 0.0000
Hf: 0.0000 0.5000 0.5000
Hf: 0.5000 0.0000 0.5000
Hf: 0.5000 0.5000 0.0000
Br: 0.5000 0.5000 0.5000

Results
E_form (uncorrected) = 102 kJ/mol of atoms
DOS(E_F) = 3.79 states/eV per cell

Computed, not measured: crystalline CsHg2Br5 at its relaxed geometry at the GGA-PBEsol level of DFT.

a b c (Å): 8.3565 6.2286 11.1471
angles (deg): 90.00 107.37 90.00
Positions (direct):
Cs: 0.0272 0.2500 0.2529
Cs: 0.9728 0.7500 0.7471
Hg: 0.3703 0.7500 0.5625
Hg: 0.4576 0.7500 0.1485
Hg: 0.5424 0.2500 0.8515
Hg: 0.6297 0.2500 0.4375
Br: 0.0703 0.7500 0.4296
Br: 0.1487 0.7500 0.0972
Br: 0.2558 0.2500 0.8714
Br: 0.4011 0.2500 0.5659
Br: 0.4626 0.2500 0.2047
Br: 0.5374 0.7500 0.7953
Br: 0.5989 0.7500 0.4341
Br: 0.7442 0.7500 0.1286
Br: 0.8513 0.2500 0.9028
Br: 0.9297 0.2500 0.5704

Results
E_form (uncorrected) = -76 kJ/mol of atoms
DOS(E_F) = 0.00 states/eV per cell

Computed, not measured: crystalline Cs2HgBr4 at its relaxed geometry at the GGA-PBEsol level of DFT.

a b c (Å): 7.6492 10.1428 16.0268
angles (deg): 90.00 117.46 90.00
Positions (direct):
Cs: 0.0525 0.0087 0.3284
Cs: 0.0525 0.4913 0.8284
Cs: 0.3756 0.1108 0.1051
Cs: 0.3756 0.3892 0.6051
Cs: 0.6244 0.6108 0.3949
Cs: 0.6244 0.8892 0.8949
Cs: 0.9475 0.5087 0.1716
Cs: 0.9475 0.9913 0.6716
Hg: 0.3332 0.7181 0.0748
Hg: 0.3332 0.7819 0.5748
Hg: 0.6668 0.2181 0.4252
Hg: 0.6668 0.2819 0.9252
Br: 0.1171 0.6655 0.4123
Br: 0.1171 0.8345 0.9123
Br: 0.2333 0.6924 0.7018
Br: 0.2333 0.8076 0.2018
Br: 0.3131 0.1812 0.8706
Br: 0.3131 0.3188 0.3706
Br: 0.3168 0.0369 0.5794
Br: 0.3168 0.4631 0.0794
Br: 0.6832 0.5369 0.9206
Br: 0.6832 0.9631 0.4206
Br: 0.6869 0.6812 0.6294
Br: 0.6869 0.8188 0.1294
Br: 0.7667 0.1924 0.7982
Br: 0.7667 0.3076 0.2982
Br: 0.8829 0.1655 0.0877
Br: 0.8829 0.3345 0.5877

Results
E_form (uncorrected) = -120 kJ/mol of atoms
DOS(E_F) = 0.00 states/eV per cell

Computed, not measured: crystalline Cs2HgBr at its relaxed geometry at the GGA-PBEsol level of DFT.

a b c (Å): 6.1769 6.1769 6.1769
angles (deg): 60.00 60.00 60.00
Positions (direct):
Cs: 0.2500 0.2500 0.2500
Cs: 0.7500 0.7500 0.7500
Hg: 0.0000 0.0000 0.0000
Br: 0.5000 0.5000 0.5000

Results
E_form (uncorrected) = -78 kJ/mol of atoms
DOS(E_F) = 2.83 states/eV per cell

Computed, not measured: crystalline CsHgBr2 at its relaxed geometry at the GGA-PBEsol level of DFT.

a b c (Å): 9.4536 9.4536 9.4536
angles (deg): 30.43 30.43 30.43
Positions (direct):
Cs: 0.0000 0.0000 0.0000
Hg: 0.5000 0.5000 0.5000
Br: 0.1200 0.1200 0.1200
Br: 0.8800 0.8800 0.8800

Results
E_form (uncorrected) = -52 kJ/mol of atoms
DOS(E_F) = 2.76 states/eV per cell

Computed, not measured: crystalline Cs2HgBr2 at its relaxed geometry at the GGA-PBEsol level of DFT.

a b c (Å): 9.7698 9.7698 4.3126
angles (deg): 90.00 90.00 90.00
Positions (direct):
Cs: 0.1433 0.3567 0.0000
Cs: 0.3567 0.8567 0.0000
Cs: 0.6433 0.1433 0.0000
Cs: 0.8567 0.6433 0.0000
Hg: 0.0000 0.0000 0.0000
Hg: 0.5000 0.5000 0.0000
Br: 0.1543 0.6543 0.5000
Br: 0.3457 0.1543 0.5000
Br: 0.6543 0.8457 0.5000
Br: 0.8457 0.3457 0.5000

Results
E_form (uncorrected) = -125 kJ/mol of atoms
DOS(E_F) = 0.00 states/eV per cell

Computed, not measured: crystalline CsHg2Br at its relaxed geometry at the GGA-PBEsol level of DFT.

a b c (Å): 5.8487 5.8487 5.8487
angles (deg): 60.00 60.00 60.00
Positions (direct):
Cs: 0.0000 0.0000 0.0000
Hg: 0.2500 0.2500 0.2500
Hg: 0.7500 0.7500 0.7500
Br: 0.5000 0.5000 0.5000

Results
E_form (uncorrected) = -58 kJ/mol of atoms
DOS(E_F) = 0.00 states/eV per cell